# Ca3TbTl2F12 (PBE, relaxed)
data_Ca3TbTl2F12
_space_group_name_H-M_alt 'R -3 m'
_space_group_IT_number 166
_space_group_name_Hall '-R 3 2"'
_cell_length_a 7.8612
_cell_length_b 7.8612
_cell_length_c 20.9903
_cell_angle_alpha 90.00
_cell_angle_beta 90.00
_cell_angle_gamma 120.00
loop_
_atom_site_label
_atom_site_fract_x
_atom_site_fract_y
_atom_site_fract_z
_atom_site_occupancy
Ca1 0.0000 0.5000 0.0000 1
Tb1 0.0000 0.0000 0.5000 1
Tl1 0.0000 0.0000 0.0772 1
F1 0.0169 0.5085 0.3659 1
F2 0.0821 0.5410 0.1015 1
# ΔE_f (raw) in kJ/mol of formula units: -5533
# D(E_F) in states/eV/f.u.: 7.89


# Ca2TcF (PBE, relaxed)
data_Ca2TcF
_space_group_name_H-M_alt 'F m -3 m'
_space_group_IT_number 225
_space_group_name_Hall '-F 4 2 3'
_cell_length_a 7.100
_cell_length_b 7.100
_cell_length_c 7.100
_cell_angle_alpha 90.00
_cell_angle_beta 90.00
_cell_angle_gamma 90.00
loop_
_atom_site_label
_atom_site_fract_x
_atom_site_fract_y
_atom_site_fract_z
_atom_site_occupancy
Ca1 0.250 0.250 0.250 1
Tc1 0.000 0.000 0.000 1
F1 0.000 0.000 0.500 1
# Polymorph energy (0 for the lowest one) in eV per formula unit: 2.05
# ΔE_f (raw) in kJ/mol of formula units: -60
# D(E_F) in states/eV/f.u.: 4.56


# CaTcF2 (PBE, relaxed)
data_CaTcF2
_space_group_name_H-M_alt 'R -3 m'
_space_group_IT_number 166
_space_group_name_Hall '-R 3 2"'
_cell_length_a 3.8535
_cell_length_b 3.8535
_cell_length_c 15.9980
_cell_angle_alpha 90.00
_cell_angle_beta 90.00
_cell_angle_gamma 120.00
loop_
_atom_site_label
_atom_site_fract_x
_atom_site_fract_y
_atom_site_fract_z
_atom_site_occupancy
Ca1 0.0000 0.0000 0.0000 1
Tc1 0.0000 0.0000 0.5000 1
F1 0.0000 0.0000 0.1363 1
# Polymorph energy (0 for the lowest one) in eV per formula unit: 2.40
# ΔE_f (raw) in kJ/mol of formula units: -395
# D(E_F) in states/eV/f.u.: 1.23


# CaTcF2 (PBE, relaxed)
data_CaTcF2
_space_group_name_H-M_alt 'I -4 2 d'
_space_group_IT_number 122
_space_group_name_Hall 'I -4 2bw'
_cell_length_a 5.568
_cell_length_b 5.568
_cell_length_c 10.701
_cell_angle_alpha 90.00
_cell_angle_beta 90.00
_cell_angle_gamma 90.00
loop_
_atom_site_label
_atom_site_fract_x
_atom_site_fract_y
_atom_site_fract_z
_atom_site_occupancy
Ca1 0.000 0.000 0.000 1
Tc1 0.000 0.000 0.500 1
F1 0.184 0.250 0.125 1
# Polymorph energy (0 for the lowest one) in eV per formula unit: 1.40
# ΔE_f (raw) in kJ/mol of formula units: -492
# D(E_F) in states/eV/f.u.: 6.18


# CaTcF5 (PBE, relaxed)
data_CaTcF5
_space_group_name_H-M_alt 'I m m 2'
_space_group_IT_number 44
_cell_length_a 5.372
_cell_length_b 8.409
_cell_length_c 6.706
_cell_angle_alpha 90.00
_cell_angle_beta 90.00
_cell_angle_gamma 90.00
loop_
_space_group_symop_operation_xyz
'x,y,z'
'-x,-y,z'
'-x,y,z'
'x,-y,z'
'x+1/2,y+1/2,z+1/2'
'-x+1/2,-y+1/2,z+1/2'
'-x+1/2,y+1/2,z+1/2'
'x+1/2,-y+1/2,z+1/2'
loop_
_atom_site_label
_atom_site_fract_x
_atom_site_fract_y
_atom_site_fract_z
_atom_site_occupancy
Ca1 0.000 0.000 0.000 1
Tc1 0.000 0.500 0.984 1
F1 0.000 0.264 0.977 1
F2 0.000 0.500 0.283 1
F3 0.244 0.500 0.742 1
# ΔE_f (raw) in kJ/mol of formula units: -1719


# Ca2TcF (PBE, relaxed)
data_Ca2TcF
_space_group_name_H-M_alt 'I -4 2 d'
_space_group_IT_number 122
_space_group_name_Hall 'I -4 2bw'
_cell_length_a 6.848
_cell_length_b 6.848
_cell_length_c 7.795
_cell_angle_alpha 90.00
_cell_angle_beta 90.00
_cell_angle_gamma 90.00
loop_
_atom_site_label
_atom_site_fract_x
_atom_site_fract_y
_atom_site_fract_z
_atom_site_occupancy
Ca1 0.168 0.750 0.125 1
Tc1 0.000 0.000 0.500 1
F1 0.000 0.000 0.000 1
# Polymorph energy (0 for the lowest one) in eV per formula unit: 0.00
# ΔE_f (raw) in kJ/mol of formula units: -258
# D(E_F) in states/eV/f.u.: 4.99


# CaTc2F (PBE, relaxed)
data_CaTc2F
_space_group_name_H-M_alt 'F m -3 m'
_space_group_IT_number 225
_space_group_name_Hall '-F 4 2 3'
_cell_length_a 6.401
_cell_length_b 6.401
_cell_length_c 6.401
_cell_angle_alpha 90.00
_cell_angle_beta 90.00
_cell_angle_gamma 90.00
loop_
_atom_site_label
_atom_site_fract_x
_atom_site_fract_y
_atom_site_fract_z
_atom_site_occupancy
Ca1 0.000 0.000 0.000 1
Tc1 0.250 0.250 0.250 1
F1 0.000 0.000 0.500 1
# Polymorph energy (0 for the lowest one) in eV per formula unit: 2.95
# ΔE_f (raw) in kJ/mol of formula units: 462
# D(E_F) in states/eV/f.u.: 5.79


# CaTc2F (PBE, relaxed)
data_CaTc2F
_space_group_name_H-M_alt 'I 41/a m d'
_space_group_IT_number 141
_cell_length_a 4.617
_cell_length_b 4.617
_cell_length_c 16.137
_cell_angle_alpha 90.00
_cell_angle_beta 90.00
_cell_angle_gamma 90.00
loop_
_space_group_symop_operation_xyz
'x,y,z'
'-x,-y,-z'
'-y+1/4,x+3/4,z+1/4'
'y+1/4,-x+3/4,-z+1/4'
'-x+1/2,-y,z+1/2'
'x+1/2,y,-z+1/2'
'y+1/4,-x+1/4,z+3/4'
'-y+1/4,x+1/4,-z+3/4'
'x,-y,-z'
'-x,y,z'
'-y+1/4,-x+1/4,-z+3/4'
'y+1/4,x+1/4,z+3/4'
'-x+1/2,y,-z+1/2'
'x+1/2,-y,z+1/2'
'y+1/4,x+3/4,-z+1/4'
'-y+1/4,-x+3/4,z+1/4'
'x+1/2,y+1/2,z+1/2'
'-x+1/2,-y+1/2,-z+1/2'
'-y+3/4,x+1/4,z+3/4'
'y+3/4,-x+1/4,-z+3/4'
'-x,-y+1/2,z'
'x,y+1/2,-z'
'y+3/4,-x+3/4,z+1/4'
'-y+3/4,x+3/4,-z+1/4'
'x+1/2,-y+1/2,-z+1/2'
'-x+1/2,y+1/2,z+1/2'
'-y+3/4,-x+3/4,-z+1/4'
'y+3/4,x+3/4,z+1/4'
'-x,y+1/2,-z'
'x,-y+1/2,z'
'y+3/4,x+1/4,-z+3/4'
'-y+3/4,-x+1/4,z+3/4'
loop_
_atom_site_label
_atom_site_fract_x
_atom_site_fract_y
_atom_site_fract_z
_atom_site_occupancy
Ca1 0.000 0.250 0.375 1
Tc1 0.000 0.000 0.000 1
F1 0.000 0.250 0.875 1
# Polymorph energy (0 for the lowest one) in eV per formula unit: 0.00
# ΔE_f (raw) in kJ/mol of formula units: 178
# D(E_F) in states/eV/f.u.: 6.36